1.
This record from the Alexandria database describes a geometry-optimized RbNa2TaCu structure. The functional is PBEsol.

Summary:
* DFT total energy: -15.6 eV/cell
* M_tot: 2.53 μB per cell
* calculated formation energy: 1.026 eV/atom
* space group: No. 123

abc: 4.8513 5.5916 5.5916
angles: 90.00 90.00 90.00
Site moments in Bohr magnetons follow the coordinates.
Fractional positions:
Na 0.0000 0.0000 0.5000  0.00
Na 0.0000 0.5000 0.0000  0.00
Cu 0.0000 0.0000 0.0000  0.03
Rb 0.5000 0.5000 0.5000  0.03
Ta 0.5000 0.0000 0.0000  1.43

---

2.
This record from the Alexandria database describes a geometry-optimized NaCu2ReSe structure. The functional is PBEsol.

Summary:
* DFT total energy: -16.9 eV/cell
* M_tot: 2.84 μB per cell
* space group: No. 123
* formation energy (no corrections): 2079 meV per atom

abc: 4.2904 4.2904 4.9329
angles: 90.00 90.00 90.00
Site moments in Bohr magnetons follow the coordinates.
Fractional positions:
Re 0.0000 0.0000 0.5000  2.35
Cu 0.0000 0.5000 0.0000  0.03
Cu 0.5000 0.0000 0.0000  0.03
Se 0.5000 0.5000 0.5000  0.04
Na 0.0000 0.0000 0.0000  0.00

---

> What is the M_tot in the first record?

2.53 μB per cell

---

> Which formula does entry 1 have?

RbNa2TaCu

---

> What is the M_tot in the second record?

2.84 μB per cell